Entry 1:
The following is a DFT calculation (PBE-GGA) of La2IrBr after structural relaxation.

For the energy relative to the elements, uncorrected, the calculation gives -0.88 eV per atom. For the distance to the lowest polymorph of the same formula, the calculation gives 357 meV/atom. The value obtained for the total energy is -5.980 eV/atom. For the density of states at the Fermi level, the calculation gives 0.599 states/eV per atom.

The space group is Immm (No. 71) and the conventional cell measures 4.401, 6.235 and 7.873 Å, with angles of 90.00, 90.00 and 90.00 degrees. Symmetry generates all atoms from La at (0.000, 0.000, 0.230), Ir at (0.000, 0.500, 0.500) and Br at (0.000, 0.500, 0.000).



Entry 2:
The following is a DFT calculation (PBE-GGA) of LaIr2Br after structural relaxation.

For the energy relative to the elements, uncorrected, the calculation gives 0.02 eV per atom. For the distance to the lowest polymorph of the same formula, the calculation gives 530 meV/atom. The value obtained for the total energy is -6.058 eV/atom. For the density of states at the Fermi level, the calculation gives 0.845 states/eV per atom.

The space group is Pmmm (No. 47) and the conventional cell measures 3.196, 4.933 and 4.947 Å, with angles of 90.00, 90.00 and 90.00 degrees. Symmetry generates all atoms from La at (0.000, 0.000, 0.000), Ir at (0.000, 0.500, 0.500), Ir at (0.500, 0.000, 0.500) and Br at (0.500, 0.500, 0.000).



Entry 3:
The following is a DFT calculation (PBE-GGA) of La2IrBr after structural relaxation.

For the energy relative to the elements, uncorrected, the calculation gives -1.01 eV per atom. For the distance to the lowest polymorph of the same formula, the calculation gives 226 meV/atom. The value obtained for the total energy is -6.111 eV/atom. For the density of states at the Fermi level, the calculation gives 0.665 states/eV per atom.

The space group is P2/m (No. 10) and the conventional cell measures 3.600, 3.537 and 8.311 Å, with angles of 90.00, 91.28 and 90.00 degrees. Symmetry generates all atoms from La at (0.031, 0.000, 0.290), Ir at (0.500, 0.500, 0.500) and Br at (0.500, 0.500, 0.000).



Entry 4:
The following is a DFT calculation (PBE-GGA) of LaIr2Br after structural relaxation.

For the energy relative to the elements, uncorrected, the calculation gives 0.05 eV per atom. For the distance to the lowest polymorph of the same formula, the calculation gives 556 meV/atom. The value obtained for the total energy is -6.032 eV/atom. For the density of states at the Fermi level, the calculation gives 1.169 states/eV per atom.

The space group is P4/mmm (No. 123) and the conventional cell measures 3.952, 3.952 and 5.476 Å, with angles of 90.00, 90.00 and 90.00 degrees. Symmetry generates all atoms from La at (0.000, 0.000, 0.000), Ir at (0.000, 0.500, 0.500) and Br at (0.500, 0.500, 0.000).



Entry 5:
The following is a DFT calculation (PBE-GGA) of La2IrBr after structural relaxation.

For the energy relative to the elements, uncorrected, the calculation gives -0.31 eV per atom. For the distance to the lowest polymorph of the same formula, the calculation gives 928 meV/atom. The value obtained for the total energy is -5.408 eV/atom. For the density of states at the Fermi level, the calculation gives 0.441 states/eV per atom.

The space group is R3m (No. 160, hexagonal axes) and the conventional cell measures 3.8882, 3.8882 and 30.0586 Å, with angles of 90.00, 90.00 and 120.00 degrees. Symmetry generates all atoms from La at (0.0000, 0.0000, 0.0000), La at (0.0000, 0.0000, 0.2188), Ir at (0.0000, 0.0000, 0.5011) and Br at (0.0000, 0.0000, 0.7354).



Entry 6:
The following is a DFT calculation (PBE-GGA) of La6Ir2Br2N after structural relaxation.

For the energy relative to the elements, uncorrected, the calculation gives -1.06 eV per atom. The value obtained for the total energy is -6.425 eV/atom. For the density of states at the Fermi level, the calculation gives 0.764 states/eV per atom.

The space group is C2/m (No. 12) and the conventional cell measures 7.266, 12.099 and 7.906 Å, with angles of 90.00, 108.45 and 90.00 degrees. Symmetry generates all atoms from La at (0.218, 0.151, 0.196), La at (0.235, 0.500, 0.202), Ir at (0.000, 0.329, 0.000), Br at (0.000, 0.174, 0.500) and N at (0.000, 0.000, 0.000).



Entry 7:
The following is a DFT calculation (PBE-GGA) of LaIr2BrN after structural relaxation.

For the energy relative to the elements, uncorrected, the calculation gives 1.87 eV per atom. The value obtained for the total energy is -4.660 eV/atom. For the density of states at the Fermi level, the calculation gives 1.369 states/eV per atom.

The space group is P4/mmm (No. 123) and the conventional cell measures 5.331, 5.331 and 4.206 Å, with angles of 90.00, 90.00 and 90.00 degrees. Symmetry generates all atoms from La at (0.000, 0.000, 0.000), Ir at (0.000, 0.500, 0.000), Br at (0.500, 0.500, 0.500) and N at (0.000, 0.000, 0.500).



Entry 8:
The following is a DFT calculation (PBE-GGA) of La8Ir3Br3N after structural relaxation.

For the energy relative to the elements, uncorrected, the calculation gives -1.07 eV per atom. The value obtained for the total energy is -6.360 eV/atom. For the density of states at the Fermi level, the calculation gives 0.741 states/eV per atom.

The space group is C2/m (No. 12) and the conventional cell measures 14.439, 8.216 and 9.192 Å, with angles of 90.00, 121.54 and 90.00 degrees. Symmetry generates all atoms from La at (0.014, 0.232, 0.314), La at (0.225, 0.000, 0.691), La at (0.234, 0.500, 0.699), Ir at (0.000, 0.500, 0.500), Ir at (0.250, 0.250, 0.500), Br at (0.000, 0.000, 0.000), Br at (0.250, 0.250, 0.000) and N at (0.000, 0.000, 0.500).



Entry 9:
The following is a DFT calculation (PBE-GGA) of La8NiIr3Br4 after structural relaxation.

For the energy relative to the elements, uncorrected, the calculation gives -1.16 eV per atom. The value obtained for the total energy is -6.060 eV/atom. For the density of states at the Fermi level, the calculation gives 0.483 states/eV per atom.

The space group is R-3m (No. 166, hexagonal axes) and the conventional cell measures 8.4031, 8.4031 and 23.7431 Å, with angles of 90.00, 90.00 and 120.00 degrees. Symmetry generates all atoms from La at (0.0000, 0.0000, 0.2322), La at (0.9996, 0.4998, 0.2315), Ni at (0.0000, 0.0000, 0.5000), Ir at (0.0000, 0.5000, 0.5000), Br at (0.0000, 0.0000, 0.0000) and Br at (0.0000, 0.5000, 0.0000).



Entry 10:
The following is a DFT calculation (PBE-GGA) of La6IrOs2Br3 after structural relaxation.

For the energy relative to the elements, uncorrected, the calculation gives -0.96 eV per atom. The value obtained for the total energy is -6.457 eV/atom. For the density of states at the Fermi level, the calculation gives 0.577 states/eV per atom.

The space group is C2/m (No. 12) and the conventional cell measures 7.277, 12.606 and 8.223 Å, with angles of 90.00, 107.17 and 90.00 degrees. Symmetry generates all atoms from La at (0.227, 0.000, 0.195), La at (0.234, 0.331, 0.195), Ir at (0.000, 0.500, 0.000), Os at (0.000, 0.167, 0.000), Br at (0.000, 0.000, 0.500) and Br at (0.000, 0.332, 0.500).



Entry 11:
The following is a DFT calculation (PBE-GGA) of La6Ir2OsBr3 after structural relaxation.

For the energy relative to the elements, uncorrected, the calculation gives -1.11 eV per atom. The value obtained for the total energy is -6.404 eV/atom. For the density of states at the Fermi level, the calculation gives 0.484 states/eV per atom.

The space group is C2/m (No. 12) and the conventional cell measures 19.882, 4.201 and 9.268 Å, with angles of 90.00, 110.82 and 90.00 degrees. Symmetry generates all atoms from La at (0.010, 0.000, 0.217), La at (0.152, 0.500, 0.110), La at (0.179, 0.500, 0.553), Ir at (0.168, 0.000, 0.335), Os at (0.000, 0.500, 0.000), Br at (0.000, 0.500, 0.500) and Br at (0.166, 0.000, 0.834).



Entry 12:
The following is a DFT calculation (PBE-GGA) of La4IrOsBr2 after structural relaxation.

For the energy relative to the elements, uncorrected, the calculation gives -1.04 eV per atom. The value obtained for the total energy is -6.431 eV/atom. For the density of states at the Fermi level, the calculation gives 0.514 states/eV per atom.

The space group is P2/m (No. 10) and the conventional cell measures 7.271, 4.207 and 8.238 Å, with angles of 90.00, 107.14 and 90.00 degrees. Symmetry generates all atoms from La at (0.228, 0.000, 0.196), La at (0.263, 0.500, 0.806), Ir at (0.500, 0.000, 0.000), Os at (0.000, 0.500, 0.000), Br at (0.000, 0.000, 0.500) and Br at (0.500, 0.500, 0.500).